Below is a relaxed Y4NiPbC2 crystal, with properties calculated at the GGA-PBE level.

a = 3.6445 Å, b = 3.6445 Å, c = 14.6860 Å
α = 90.00°, β = 90.00°, γ = 120.00°
Closest atoms and distances in Å follow each position.
Space group P-6m2 (No. 187)
Inequivalent atoms, fractional coordinates:
1 Y 0.0000 0.0000 0.1339  3 C 2.52
2 Y 0.3333 0.6667 0.3168  3 C 2.47
3 Ni 0.3333 0.6667 0.0000  6 Y 2.88
4 Pb 0.0000 0.0000 0.5000  6 Y 3.42, 6 Pb 3.64
5 C 0.6667 0.3333 0.2289  6 Y 2.47-2.52

Summary:
Its crystal system is hexagonal. The value obtained for the total energy is -7.0397 eV per atom.